Record 1
MnTlBi2S4 (PBE, relaxed); ρ = 6348 kg/m³; space-group type = Cmcm, No. 63; formation energy from raw total energies = -321.7 meV per atom; crystal system = orthorhombic
1.0
2.052 -7.031 0.000
2.052 7.031 0.000
0.000 0.000 14.605
Mn Tl Bi S
2 2 4 8
Direct
0.153 0.847 0.750
0.847 0.153 0.250
0.119 0.881 0.250
0.881 0.119 0.750
0.372 0.628 0.058
0.372 0.628 0.442
0.628 0.372 0.558
0.628 0.372 0.942
0.000 0.000 0.000
0.000 0.000 0.500
0.253 0.747 0.616
0.253 0.747 0.884
0.435 0.565 0.250
0.565 0.435 0.750
0.747 0.253 0.116
0.747 0.253 0.384


Record 2
LaUPt4 (PBE, relaxed); ρ = 16355 kg/m³; space-group type = F-43m, No. 216; crystal system = cubic; ΔE_f = -0.814 eV per atom
1.0
0.000 3.887 3.887
3.887 0.000 3.887
3.887 3.887 0.000
La U Pt
1 1 4
Direct
0.000 0.000 0.000
0.250 0.250 0.250
0.126 0.625 0.625
0.625 0.126 0.625
0.625 0.625 0.126
0.625 0.625 0.625


Record 3
FeRuSe2 (PBE, relaxed); ρ = 8749 kg/m³; space-group type = P4/mmm, No. 123; offset from the most stable computed form = 0.452 eV per atom; formation energy from raw total energies = 227.6 meV per atom; crystal system = tetragonal
1.0
3.092 0.000 0.000
0.000 3.092 0.000
0.000 0.000 6.249
Fe Ru Se
1 1 2
Direct
0.000 0.000 0.000
0.000 0.000 0.500
0.500 0.500 0.244
0.500 0.500 0.756


Record 4
Ca2ScOs (PBE, relaxed); ρ = 5670 kg/m³; space-group type = Fm-3m, No. 225; offset from the most stable computed form = 0.490 eV per atom; crystal system = cubic; ΔE_f = 0.512 eV per atom
1.0
0.000 3.588 3.588
3.588 0.000 3.588
3.588 3.588 0.000
Ca Sc Os
2 1 1
Direct
0.250 0.250 0.250
0.750 0.750 0.750
0.000 0.000 0.000
0.500 0.500 0.500


Record 5
LiSb2TeO (PBE, relaxed); ρ = 5666 kg/m³; space-group type = P4/mmm, No. 123; offset from the most stable computed form = 0.824 eV per atom; formation energy from raw total energies = 661.1 meV per atom; crystal system = tetragonal
1.0
4.945 0.000 0.000
0.000 4.945 0.000
0.000 0.000 4.723
Li Sb Te O
1 2 1 1
Direct
0.000 0.000 0.000
0.000 0.500 0.000
0.500 0.000 0.000
0.000 0.000 0.500
0.500 0.500 0.500


Record 6
AgGeS2Cl (PBE, relaxed); ρ = 4138 kg/m³; space-group type = P4/mmm, No. 123; offset from the most stable computed form = 0.000 eV per atom; formation energy from raw total energies = 197.6 meV per atom; crystal system = tetragonal
1.0
4.689 0.000 0.000
0.000 4.689 0.000
0.000 0.000 5.112
Ag Ge S Cl
1 1 2 1
Direct
0.000 0.000 0.000
0.500 0.500 0.500
0.000 0.500 0.500
0.500 0.000 0.500
0.500 0.500 0.000


Record 7
BeRe2Au (PBE, relaxed); ρ = 17401 kg/m³; space-group type = Imm2, No. 44; crystal system = orthorhombic; ΔE_f = 0.275 eV per atom
1.0
-1.496 2.207 4.178
1.496 -2.207 4.178
1.496 2.207 -4.178
Be Re Au
1 2 1
Direct
0.000 0.000 0.000
0.222 0.722 0.500
0.501 0.501 0.000
0.787 0.287 0.500


Record 8
CaI2Br (PBE, relaxed); ρ = 4721 kg/m³; space-group type = Fm-3m, No. 225; offset from the most stable computed form = 0.275 eV per atom; formation energy from raw total energies = -801.7 meV per atom; crystal system = cubic
1.0
0.000 4.036 4.036
4.036 0.000 4.036
4.036 4.036 0.000
Ca I Br
1 2 1
Direct
0.000 0.000 0.000
0.250 0.250 0.250
0.750 0.750 0.750
0.500 0.500 0.500